1.
Material: MnTl2W
Method: DFT, PBE
State: relaxed

N(E_F) ... 0.526 states/eV per atom
Offset from the most stable computed form ... 0.228 eV per atom
Total magnetic moment ... 2.7 μB per cell
Calculated total energy ... -23.7 eV per cell
Energy of formation ... 3.13 eV per formula unit

Lattice parameters (Å, degrees): 6.262 6.262 6.262 152.04 133.91 54.77
Fractional coordinates of all 4 atoms:
Tl 0.272 0.772 0.500
Tl 0.987 0.987 0.000
W 0.532 0.532 0.000
Mn 0.708 0.208 0.500


2.
Material: MnTlW2
Method: DFT, PBE
State: relaxed

N(E_F) ... 1.596 states/eV per atom
Offset from the most stable computed form ... 0.568 eV per atom
Total magnetic moment ... 0.0 μB per cell
Calculated total energy ... -33.0 eV per cell
Energy of formation ... 4.41 eV per formula unit

Lattice parameters (Å, degrees): 4.517 4.517 4.517 60.00 60.00 60.00
Fractional coordinates of all 4 atoms:
W 0.250 0.250 0.250
W 0.750 0.750 0.750
Tl 0.500 0.500 0.500
Mn 0.000 0.000 0.000


3.
Material: MnTlW2
Method: DFT, PBE
State: relaxed

N(E_F) ... 0.646 states/eV per atom
Offset from the most stable computed form ... 0.153 eV per atom
Total magnetic moment ... 1.5 μB per cell
Calculated total energy ... -34.7 eV per cell
Energy of formation ... 2.75 eV per formula unit

Lattice parameters (Å, degrees): 2.841 2.841 8.960 90.00 90.00 110.97
Fractional coordinates of all 4 atoms:
Tl 0.500 0.500 0.750
W 0.000 0.000 0.468
W 0.000 0.000 0.032
Mn 0.500 0.500 0.250


4.
Material: MnTl2W
Method: DFT, PBE
State: relaxed

N(E_F) ... 1.070 states/eV per atom
Offset from the most stable computed form ... 0.413 eV per atom
Total magnetic moment ... 3.5 μB per cell
Calculated total energy ... -23.0 eV per cell
Energy of formation ... 3.87 eV per formula unit

Lattice parameters (Å, degrees): 5.476 5.476 5.476 135.98 135.98 64.01
Fractional coordinates of all 4 atoms:
W 0.500 0.500 0.000
Tl 0.000 0.000 0.000
Tl 0.250 0.750 0.500
Mn 0.750 0.250 0.500


5.
Material: MnTlW2
Method: DFT, PBE
State: relaxed

N(E_F) ... 1.721 states/eV per atom
Offset from the most stable computed form ... 0.756 eV per atom
Total magnetic moment ... 0.0 μB per cell
Calculated total energy ... -64.6 eV per cell
Energy of formation ... 5.16 eV per formula unit

Lattice parameters (Å, degrees): 3.804 3.804 10.118 79.16 79.16 90.00
Fractional coordinates of all 8 atoms:
W 0.875 0.859 0.750
W 0.375 0.391 0.750
W 0.609 0.125 0.250
W 0.141 0.625 0.250
Mn 0.500 0.500 0.000
Mn 0.250 0.750 0.500
Tl 0.000 0.000 0.000
Tl 0.750 0.250 0.500


6.
Material: Mn3TlW
Method: DFT, PBE
State: relaxed

N(E_F) ... 1.655 states/eV per atom
Offset from the most stable computed form ... 0.000 eV per atom
Total magnetic moment ... 8.7 μB per cell
Calculated total energy ... -36.4 eV per cell
Energy of formation ... 6.41 eV per formula unit

Lattice parameters (Å, degrees): 4.731 4.731 4.731 90.00 90.00 90.00
Fractional coordinates of all 5 atoms:
Mn 0.500 0.000 0.000
Mn 0.000 0.500 0.000
Mn 0.000 0.000 0.500
Tl 0.500 0.500 0.500
W 0.000 0.000 0.000


7.
Material: MnTl2W
Method: DFT, PBE
State: relaxed

N(E_F) ... 0.652 states/eV per atom
Offset from the most stable computed form ... 0.408 eV per atom
Total magnetic moment ... 4.1 μB per cell
Calculated total energy ... -23.0 eV per cell
Energy of formation ... 3.85 eV per formula unit

Lattice parameters (Å, degrees): 5.310 5.310 5.310 133.34 133.34 68.11
Fractional coordinates of all 4 atoms:
Mn 0.750 0.250 0.500
Tl 0.000 0.000 0.000
Tl 0.500 0.500 0.000
W 0.250 0.750 0.500


8.
Material: MnTlW2
Method: DFT, PBE
State: relaxed

N(E_F) ... 0.757 states/eV per atom
Offset from the most stable computed form ... 0.151 eV per atom
Total magnetic moment ... 1.6 μB per cell
Calculated total energy ... -34.7 eV per cell
Energy of formation ... 2.74 eV per formula unit

Lattice parameters (Å, degrees): 4.140 2.820 6.166 69.82 90.00 90.00
Fractional coordinates of all 4 atoms:
W 0.000 0.466 0.457
W 0.000 0.034 0.043
Mn 0.500 0.250 0.250
Tl 0.500 0.750 0.750